Record 1
Compound: CaInSnBi
Source: Alexandria via LeMat-Bulk
Functional: PBE
Structure: relaxed

abc: 4.761 4.593 5.239
angles: 90.00 90.00 90.00
Fractional positions:
Ca (0.000, 0.500, 0.500)
In (0.500, 0.500, 0.000)
Sn (0.000, 0.000, 0.000)
Bi (0.500, 0.000, 0.500)

formation energy: -36 kJ per mole of atoms
relative energy among the computed polymorphs: 0.000 eV per atom

***

Record 2
Compound: Al3AgTe
Source: Alexandria via LeMat-Bulk
Functional: PBE
Structure: relaxed

abc: 4.948 4.948 4.948
angles: 90.00 90.00 90.00
Fractional positions:
Te (0.500, 0.500, 0.500)
Al (0.000, 0.500, 0.000)
Al (0.000, 0.000, 0.500)
Al (0.500, 0.000, 0.000)
Ag (0.000, 0.000, 0.000)

ΔE_f (raw): 253 meV per atom
relative energy among the computed polymorphs: 0.000 eV per atom

***

Record 3
Compound: Li8Ag6Pd
Source: Alexandria via LeMat-Bulk
Functional: PBE
Structure: relaxed

abc: 8.414 8.414 6.576
angles: 50.22 50.22 60.00
Fractional positions:
Li (0.716, 0.067, 0.497)
Li (0.933, 0.280, 0.503)
Li (0.280, 0.284, 0.503)
Li (0.621, 0.621, 0.137)
Li (0.379, 0.379, 0.863)
Li (0.720, 0.716, 0.497)
Li (0.067, 0.720, 0.497)
Li (0.284, 0.933, 0.503)
Ag (0.335, 0.001, 0.000)
Ag (0.999, 0.336, 0.000)
Ag (0.336, 0.665, 0.000)
Ag (0.664, 0.335, 0.000)
Ag (0.001, 0.664, 0.000)
Ag (0.665, 0.999, 0.000)
Pd (0.000, 0.000, 0.000)

formation energy: -16 kJ per mole of atoms

***

Record 4
Compound: AgOsW2
Source: Alexandria via LeMat-Bulk
Functional: PBE
Structure: relaxed

abc: 2.793 2.793 8.243
angles: 90.00 90.00 90.00
Fractional positions:
Os (0.500, 0.500, 0.750)
Ag (0.500, 0.500, 0.250)
W (0.000, 0.000, 0.980)
W (0.000, 0.000, 0.520)

formation energy: 37 kJ per mole of atoms
relative energy among the computed polymorphs: 0.023 eV per atom

***

no.,spin magnetization (μB per cell)
1,0.00
2,0.00
3,0.00
4,0.00